Computed, not measured: a geometry-optimized BiMoH2 structure at the GGA-PBE level of DFT.

## Properties
- Density of states at the Fermi level: 2.071 states/eV/f.u.
- Uncorrected energy: -4.835 eV per atom

Geometry as POSCAR:
```
BiMoH2
1.0
-2.517 2.517 4.229
2.517 -2.517 4.229
2.517 2.517 -4.229
Bi Mo H
2 2 4
direct
0.000 0.000 0.000
0.750 0.250 0.500
0.250 0.750 0.500
0.500 0.500 0.000
0.243 0.625 0.118
0.375 0.493 0.618
0.507 0.125 0.882
0.875 0.757 0.382
```